## BaSrIr2 (PBE)

Data for a relaxed BaSrIr2 crystal.

The value obtained for the total magnetization is 0.000 Bohr magnetons per cell. The value obtained for the calculated total energy is -5.548 eV per atom. For the energy of formation from the pure elements, the calculation gives -216.0 meV per atom.

The space group is Amm2 (No. 38) and the conventional cell measures 4.590, 4.905 and 10.707 Å, with angles of 90.00, 90.00 and 90.00 degrees. The inequivalent atoms are Ba at (0.000, 0.000, 0.000), Sr at (0.500, 0.000, 0.708), Ir at (0.000, 0.000, 0.310) and Ir at (0.500, 0.000, 0.384).

## BaSrIr2 (PBE)

Data for a relaxed BaSrIr2 crystal.

The value obtained for the total magnetization is 0.000 Bohr magnetons per cell. The value obtained for the calculated total energy is -4.968 eV per atom. For the energy of formation from the pure elements, the calculation gives 364.0 meV per atom.

The space group is I4/mmm (No. 139) and the conventional cell measures 4.805, 4.805 and 8.520 Å, with angles of 90.00, 90.00 and 90.00 degrees. The inequivalent atoms are Ba at (0.000, 0.000, 0.000), Sr at (0.000, 0.000, 0.500) and Ir at (0.000, 0.500, 0.250).

## BaSr2Ir (PBE)

Data for a relaxed BaSr2Ir crystal.

The value obtained for the total magnetization is 0.000 Bohr magnetons per cell. The value obtained for the calculated total energy is -3.671 eV per atom. For the energy of formation from the pure elements, the calculation gives -134.2 meV per atom.

The space group is Cm (No. 8) and the conventional cell measures 7.657, 13.165 and 7.176 Å, with angles of 90.00, 90.52 and 90.00 degrees. The inequivalent atoms are Ba at (0.000, 0.172, 0.000), Sr at (0.021, 0.500, 0.991), Sr at (0.313, 0.500, 0.535), Sr at (0.343, 0.173, 0.540) and Ir at (0.169, 0.333, 0.766).

## BaSr2Ir (PBE)

Data for a relaxed BaSr2Ir crystal.

The value obtained for the total magnetization is 0.000 Bohr magnetons per cell. The value obtained for the calculated total energy is -3.140 eV per atom. For the energy of formation from the pure elements, the calculation gives 396.9 meV per atom.

The space group is I-42d (No. 122) and the conventional cell measures 8.761, 8.761 and 12.434 Å, with angles of 90.00, 90.00 and 90.00 degrees. The inequivalent atoms are Ba at (0.000, 0.000, 0.000), Sr at (0.005, 0.250, 0.625) and Ir at (0.000, 0.000, 0.500).

## BaSr2Ir (PBE)

Data for a relaxed BaSr2Ir crystal.

The value obtained for the total magnetization is 0.000 Bohr magnetons per cell. The value obtained for the calculated total energy is -3.636 eV per atom. For the energy of formation from the pure elements, the calculation gives -99.6 meV per atom.

The space group is Amm2 (No. 38) and the conventional cell measures 4.426, 6.058 and 13.881 Å, with angles of 90.00, 90.00 and 90.00 degrees. The inequivalent atoms are Ba at (0.000, 0.000, 0.000), Sr at (0.000, 0.000, 0.287), Sr at (0.500, 0.000, 0.653) and Ir at (0.500, 0.000, 0.147).

## BaSr2Ir (PBE)

Data for a relaxed BaSr2Ir crystal.

The value obtained for the total magnetization is 0.000 Bohr magnetons per cell. The value obtained for the calculated total energy is -3.505 eV per atom. For the energy of formation from the pure elements, the calculation gives 31.5 meV per atom.

The space group is P4mm (No. 99) and the conventional cell measures 3.832, 3.832 and 10.819 Å, with angles of 90.00, 90.00 and 90.00 degrees. The inequivalent atoms are Ba at (0.000, 0.000, 0.000), Sr at (0.000, 0.000, 0.319), Sr at (0.500, 0.500, 0.646) and Ir at (0.500, 0.500, 0.166).

## BaSr4Ir (PBE)

Data for a relaxed BaSr4Ir crystal.

The value obtained for the total magnetization is 0.001 Bohr magnetons per cell. The value obtained for the calculated total energy is -3.005 eV per atom. For the energy of formation from the pure elements, the calculation gives -86.8 meV per atom.

The space group is C2/m (No. 12) and the conventional cell measures 19.635, 8.372 and 7.123 Å, with angles of 90.00, 105.03 and 90.00 degrees. The inequivalent atoms are Ba at (0.197, 0.000, 0.177), Sr at (0.000, 0.271, 0.000), Sr at (0.104, 0.255, 0.612), Sr at (0.175, 0.500, 0.227) and Ir at (0.027, 0.500, 0.351).

## BaSr2Ir (PBE)

Data for a relaxed BaSr2Ir crystal.

The value obtained for the total magnetization is 0.000 Bohr magnetons per cell. The value obtained for the calculated total energy is -3.502 eV per atom. For the energy of formation from the pure elements, the calculation gives 34.7 meV per atom.

The space group is R-3m (No. 166, hexagonal axes) and the conventional cell measures 4.4722, 4.4722 and 30.9560 Å, with angles of 90.00, 90.00 and 120.00 degrees. The inequivalent atoms are Ba at (0.0000, 0.0000, 0.0000), Sr at (0.0000, 0.0000, 0.2144) and Ir at (0.0000, 0.0000, 0.5000).

## BaSrIr2 (PBE)

Data for a relaxed BaSrIr2 crystal.

The value obtained for the total magnetization is 0.001 Bohr magnetons per cell. The value obtained for the calculated total energy is -4.825 eV per atom. For the energy of formation from the pure elements, the calculation gives 506.4 meV per atom.

The space group is I-4m2 (No. 119) and the conventional cell measures 4.461, 4.461 and 9.840 Å, with angles of 90.00, 90.00 and 90.00 degrees. The inequivalent atoms are Ba at (0.000, 0.000, 0.000), Sr at (0.000, 0.500, 0.250), Ir at (0.000, 0.000, 0.500) and Ir at (0.000, 0.500, 0.750).

## Ba3Sr2Ir (PBE)

Data for a relaxed Ba3Sr2Ir crystal.

The value obtained for the total magnetization is 0.000 Bohr magnetons per cell. The value obtained for the calculated total energy is -3.084 eV per atom. For the energy of formation from the pure elements, the calculation gives -85.1 meV per atom.

The space group is C2/c (No. 15) and the conventional cell measures 13.366, 9.622 and 10.110 Å, with angles of 90.00, 108.27 and 90.00 degrees. The inequivalent atoms are Ba at (0.000, 0.092, 0.250), Ba at (0.029, 0.322, 0.952), Sr at (0.233, 0.421, 0.346) and Ir at (0.000, 0.413, 0.250).

## BaSrIr2 (PBE)

Data for a relaxed BaSrIr2 crystal.

The value obtained for the total magnetization is 0.000 Bohr magnetons per cell. The value obtained for the calculated total energy is -4.939 eV per atom. For the energy of formation from the pure elements, the calculation gives 392.2 meV per atom.

The space group is Fm-3m (No. 225) and the conventional cell measures 7.404, 7.404 and 7.404 Å, with angles of 90.00, 90.00 and 90.00 degrees. The inequivalent atoms are Ba at (0.000, 0.000, 0.000), Sr at (0.000, 0.000, 0.500) and Ir at (0.250, 0.250, 0.250).

## BaSr2Ir2 (PBE)

Data for a relaxed BaSr2Ir2 crystal.

The value obtained for the total magnetization is 0.000 Bohr magnetons per cell. The value obtained for the calculated total energy is -4.556 eV per atom. For the energy of formation from the pure elements, the calculation gives 45.7 meV per atom.

The space group is I4/mmm (No. 139) and the conventional cell measures 4.907, 4.907 and 12.659 Å, with angles of 90.00, 90.00 and 90.00 degrees. The inequivalent atoms are Ba at (0.000, 0.000, 0.000), Sr at (0.000, 0.500, 0.250) and Ir at (0.000, 0.000, 0.401).